# PmPr6Sm

A relaxed PmPr6Sm crystal (PBE-GGA, Alexandria).

The structure in extended XYZ format:
```
8
Lattice="-1.153 -4.060 3.079 3.409 -2.960 -2.628 7.572 2.857 6.604" Properties=species:S:1:pos:R:3 pbc="T T T"
Pr 4.914 -2.082 3.527
Pr 5.101 0.112 6.491
Pr 3.599 -0.765 0.338
Pr 1.318 -1.315 3.192
Pr 1.128 -3.510 0.225
Pr 7.382 0.662 3.638
Pm 0.000 0.000 0.000
Sm 3.786 1.429 3.302
```

## Properties
The calculation puts the energy relative to the elements at 0.012 eV per atom. As for the space group: P4/mmm (123).